Version A
First-principles (GGA-PBE) data for a geometry-optimized HfCdRu3 structure, as listed in Alexandria.

```
data_HfCdRu3
_chemical_formula_sum 'Hf1 Cd1 Ru3'
_cell_length_a 4.790
_cell_length_b 4.790
_cell_length_c 4.790
_cell_angle_alpha 90.00
_cell_angle_beta 90.00
_cell_angle_gamma 90.00
_space_group_name_H-M_alt 'P m -3 m'
_space_group_IT_number 221
_space_group_name_Hall '-P 4 2 3'
loop_
_atom_site_label
_atom_site_type_symbol
_atom_site_fract_x
_atom_site_fract_y
_atom_site_fract_z
Hf1 Hf 0.000 0.000 0.000
Cd1 Cd 0.500 0.500 0.500
Ru1 Ru 0.000 0.000 0.500
```

=====

Version B
First-principles (GGA-PBE) data for a geometry-optimized HfCdRu3 structure, as listed in Alexandria.

```
data_HfCdRu3
_chemical_formula_sum 'Hf1 Cd1 Ru3'
_cell_length_a 4.730
_cell_length_b 4.730
_cell_length_c 4.730
_cell_angle_alpha 90.00
_cell_angle_beta 90.00
_cell_angle_gamma 90.00
_space_group_name_H-M_alt 'P m -3 m'
_space_group_IT_number 221
_space_group_name_Hall '-P 4 2 3'
loop_
_atom_site_label
_atom_site_type_symbol
_atom_site_fract_x
_atom_site_fract_y
_atom_site_fract_z
Hf1 Hf 0.000 0.000 0.000
Cd1 Cd 0.500 0.500 0.500
Ru1 Ru 0.000 0.500 0.500
```

=====

Stability order, top to bottom: version A, version B

=====

Version A
First-principles (GGA-PBE) data for a geometry-optimized HfCd2Ru structure, as listed in Alexandria.

```
data_HfCd2Ru
_chemical_formula_sum 'Hf4 Cd8 Ru4'
_cell_length_a 7.955
_cell_length_b 7.955
_cell_length_c 5.259
_cell_angle_alpha 90.00
_cell_angle_beta 90.00
_cell_angle_gamma 90.00
_space_group_name_H-M_alt 'I -4 2 d'
_space_group_IT_number 122
_space_group_name_Hall 'I -4 2bw'
loop_
_atom_site_label
_atom_site_type_symbol
_atom_site_fract_x
_atom_site_fract_y
_atom_site_fract_z
Hf1 Hf 0.000 0.000 0.000
Cd1 Cd 0.215 0.250 0.625
Ru1 Ru 0.000 0.000 0.500
```

=====

Version B
First-principles (GGA-PBE) data for a geometry-optimized HfCd2Ru structure, as listed in Alexandria.

```
data_HfCd2Ru
_chemical_formula_sum 'Hf4 Cd8 Ru4'
_cell_length_a 6.668
_cell_length_b 6.668
_cell_length_c 6.668
_cell_angle_alpha 90.00
_cell_angle_beta 90.00
_cell_angle_gamma 90.00
_space_group_name_H-M_alt 'F m -3 m'
_space_group_IT_number 225
_space_group_name_Hall '-F 4 2 3'
loop_
_atom_site_label
_atom_site_type_symbol
_atom_site_fract_x
_atom_site_fract_y
_atom_site_fract_z
Hf1 Hf 0.000 0.000 0.000
Cd1 Cd 0.250 0.250 0.250
Ru1 Ru 0.000 0.000 0.500
```

=====

Stability order, top to bottom: version B, version A